1.
Below is a geometry-optimized ScV2P2 structure, with properties calculated at the PBE-GGA level.

Properties
The calculation puts the formation enthalpy at 0 K at -0.77 eV/atom. The calculation puts the energy above the most stable polymorph in this dataset at 0 meV per atom. The value obtained for the electronic total energy is -7.85 eV/atom. The space group is No. 127. The calculation puts the density at 4884 kg/m³.

a b c (Å): 6.732 6.732 3.132
angles (deg): 90.00 90.00 90.00
Fractional positions:
Sc1 0.000 0.000 0.000
Sc2 0.500 0.500 0.000
P1 0.359 0.859 0.000
P2 0.859 0.641 0.000
P3 0.641 0.141 0.000
P4 0.141 0.359 0.000
V1 0.144 0.644 0.500
V2 0.644 0.856 0.500
V3 0.856 0.356 0.500
V4 0.356 0.144 0.500

2.
Below is a geometry-optimized Sc3VP structure, with properties calculated at the PBE-GGA level.

Properties
The calculation puts the formation enthalpy at 0 K at 0.51 eV/atom. The calculation puts the energy above the most stable polymorph in this dataset at 595 meV per atom. The value obtained for the electronic total energy is -6.20 eV/atom. The space group is No. 221. The calculation puts the density at 3299 kg/m³.

a b c (Å): 4.779 4.779 4.779
angles (deg): 90.00 90.00 90.00
Fractional positions:
Sc1 0.000 0.500 0.000
Sc2 0.000 0.000 0.500
Sc3 0.500 0.000 0.000
P1 0.500 0.500 0.500
V1 0.000 0.000 0.000

3.
Below is a geometry-optimized Sc3VP structure, with properties calculated at the PBE-GGA level.

Properties
The calculation puts the formation enthalpy at 0 K at -0.09 eV/atom. The calculation puts the energy above the most stable polymorph in this dataset at 0 meV per atom. The value obtained for the electronic total energy is -6.79 eV/atom. The space group is No. 221. The calculation puts the density at 3051 kg/m³.

a b c (Å): 4.905 4.905 4.905
angles (deg): 90.00 90.00 90.00
Last column: magnetic moment on the atom in μB.
Fractional positions:
Sc1 0.000 0.500 0.000  0.00
Sc2 0.000 0.000 0.500  0.00
Sc3 0.500 0.000 0.000  0.00
P1 0.000 0.000 0.000  0.02
V1 0.500 0.500 0.500  2.66

4.
Below is a geometry-optimized ScVP structure, with properties calculated at the PBE-GGA level.

Properties
The calculation puts the formation enthalpy at 0 K at -0.69 eV/atom. The value obtained for the electronic total energy is -7.64 eV/atom. The space group is No. 26. The calculation puts the density at 4253 kg/m³.

a b c (Å): 3.524 6.589 8.534
angles (deg): 90.00 90.00 90.00
Last column: magnetic moment on the atom in μB.
Fractional positions:
P1 0.500 0.855 0.057  0.00
P2 0.500 0.244 0.372  0.00
P3 0.500 0.355 0.943  0.00
P4 0.500 0.744 0.628  0.00
Sc1 0.000 0.152 0.130  0.00
Sc2 0.000 0.039 0.553  0.01
Sc3 0.000 0.539 0.447  0.01
Sc4 0.000 0.652 0.870  0.00
V1 0.500 0.849 0.332  0.00
V2 0.500 0.537 0.182  0.10
V3 0.500 0.037 0.818  0.10
V4 0.500 0.349 0.668  0.00

Among the records above, which one has the lowest formation enthalpy at 0 K? ScV2P2